1.
DFT (SCAN) results for Ba2AgBi2 at its PBEsol-relaxed geometry.

CIF file:
```
data_Ba2AgBi2
_cell_length_a 6.8478
_cell_length_b 6.8478
_cell_length_c 8.8777
_cell_angle_alpha 90.00
_cell_angle_beta 90.00
_cell_angle_gamma 90.00
_symmetry_space_group_name_H-M 'P 1'
_symmetry_Int_Tables_number 1
_symmetry_space_group_name_Hall 'P 1'
loop_
_atom_site_label
_atom_site_type_symbol
_atom_site_fract_x
_atom_site_fract_y
_atom_site_fract_z
Ba1 Ba 0.0000 0.5000 0.2500
Ba2 Ba 0.0000 0.5000 0.7500
Ba3 Ba 0.5000 0.0000 0.2500
Ba4 Ba 0.5000 0.0000 0.7500
Ag1 Ag 0.0000 0.0000 0.0000
Ag2 Ag 0.5000 0.5000 0.5000
Bi1 Bi 0.0000 0.0000 0.3177
Bi2 Bi 0.0000 0.0000 0.6823
Bi3 Bi 0.5000 0.5000 0.1823
Bi4 Bi 0.5000 0.5000 0.8177
```

## Properties
Magnetization = 0.0 μB/f.u.
E_form = -0.437 eV per atom
Density of states at the Fermi level = 6.74 states/eV/cell

2.
DFT (SCAN) results for BaCoBr2 at its PBEsol-relaxed geometry.

CIF file:
```
data_BaCoBr2
_cell_length_a 4.3608
_cell_length_b 3.8625
_cell_length_c 6.2394
_cell_angle_alpha 90.00
_cell_angle_beta 107.40
_cell_angle_gamma 90.00
_symmetry_space_group_name_H-M 'P 1'
_symmetry_Int_Tables_number 1
_symmetry_space_group_name_Hall 'P 1'
loop_
_atom_site_label
_atom_site_type_symbol
_atom_site_fract_x
_atom_site_fract_y
_atom_site_fract_z
Ba1 Ba 0.0000 0.0000 0.0000
Co1 Co 0.5000 0.0000 0.5000
Br1 Br 0.3797 0.5000 0.7120
Br2 Br 0.6203 0.5000 0.2880
```

## Properties
Magnetization = 1.1 μB/f.u.
Formation energy (no corrections) = -0.805 eV/atom
Density of states at the Fermi level = 1.05 states/eV/cell
Distance to the lowest polymorph of the same formula = 131 meV per atom

3.
DFT (SCAN) results for Li2TaCo at its PBEsol-relaxed geometry.

CIF file:
```
data_Li2TaCo
_cell_length_a 5.8769
_cell_length_b 5.8769
_cell_length_c 5.8769
_cell_angle_alpha 90.00
_cell_angle_beta 90.00
_cell_angle_gamma 90.00
_symmetry_space_group_name_H-M 'P 1'
_symmetry_Int_Tables_number 1
_symmetry_space_group_name_Hall 'P 1'
loop_
_atom_site_label
_atom_site_type_symbol
_atom_site_fract_x
_atom_site_fract_y
_atom_site_fract_z
Li1 Li 0.0000 0.0000 0.0000
Li2 Li 0.0000 0.5000 0.5000
Li3 Li 0.2500 0.2500 0.2500
Li4 Li 0.2500 0.7500 0.7500
Li5 Li 0.5000 0.0000 0.5000
Li6 Li 0.5000 0.5000 0.0000
Li7 Li 0.7500 0.2500 0.7500
Li8 Li 0.7500 0.7500 0.2500
Ta1 Ta 0.0000 0.0000 0.5000
Ta2 Ta 0.0000 0.5000 0.0000
Ta3 Ta 0.5000 0.0000 0.0000
Ta4 Ta 0.5000 0.5000 0.5000
Co1 Co 0.2500 0.2500 0.7500
Co2 Co 0.2500 0.7500 0.2500
Co3 Co 0.7500 0.2500 0.2500
Co4 Co 0.7500 0.7500 0.7500
```

## Properties
Magnetization = 0.0 μB/f.u.
E_form = 0.356 eV per atom
Density of states at the Fermi level = 15.85 states/eV/cell
Distance to the lowest polymorph of the same formula = 129 meV per atom

4.
DFT (SCAN) results for TaPtAu at its PBEsol-relaxed geometry.

CIF file:
```
data_TaPtAu
_cell_length_a 6.1083
_cell_length_b 6.1083
_cell_length_c 6.1083
_cell_angle_alpha 90.00
_cell_angle_beta 90.00
_cell_angle_gamma 90.00
_symmetry_space_group_name_H-M 'P 1'
_symmetry_Int_Tables_number 1
_symmetry_space_group_name_Hall 'P 1'
loop_
_atom_site_label
_atom_site_type_symbol
_atom_site_fract_x
_atom_site_fract_y
_atom_site_fract_z
Ta1 Ta 0.0000 0.0000 0.0000
Ta2 Ta 0.0000 0.5000 0.5000
Ta3 Ta 0.5000 0.0000 0.5000
Ta4 Ta 0.5000 0.5000 0.0000
Pt1 Pt 0.0000 0.0000 0.5000
Pt2 Pt 0.0000 0.5000 0.0000
Pt3 Pt 0.5000 0.0000 0.0000
Pt4 Pt 0.5000 0.5000 0.5000
Au1 Au 0.2500 0.2500 0.7500
Au2 Au 0.2500 0.7500 0.2500
Au3 Au 0.7500 0.2500 0.2500
Au4 Au 0.7500 0.7500 0.7500
```

## Properties
Magnetization = 0.0 μB/f.u.
E_form = 0.174 eV per atom
Density of states at the Fermi level = 18.03 states/eV/cell
Distance to the lowest polymorph of the same formula = 729 meV per atom